The following is a PBE calculation of crystalline CsGa6Sn2 at its relaxed geometry, from Alexandria.

- E_form: -40 meV per atom
- Crystal system: tetragonal
- Space group: No. 123
- Calculated volume: 231.6 Å³ per cell
- Final energy: -3.04 eV per atom
- DOS at the Fermi energy: 0.31 states/eV/atom

a b c (Å): 5.018 5.018 9.196
angles (deg): 90.00 90.00 90.00
Atoms (fractional coordinates):
Cs  0.000  0.000  0.000
Ga  0.000  0.000  0.500
Ga  0.000  0.500  0.342
Ga  0.000  0.500  0.658
Ga  0.500  0.000  0.342
Ga  0.500  0.000  0.658
Ga  0.500  0.500  0.500
Sn  0.500  0.500  0.176
Sn  0.500  0.500  0.824